1.
GGA-PBE Pm2Pr5Dy5, relaxed; E_tot = -56.2 eV per formula unit; volume = 33.89 A^3/atom; space-group type = C2/m; Fermi-level density of states = 1.479 states/eV/atom; DFT formation energy = 0.017 eV per atom
1.0
7.709 -2.562 0.000
7.709 2.562 0.000
-5.160 0.000 10.294
Pm Pr Dy
2 5 5
Direct
0.083 0.083 0.252
0.917 0.917 0.748
0.000 0.000 0.500
0.165 0.165 0.999
0.250 0.250 0.748
0.750 0.750 0.252
0.835 0.835 0.001
0.333 0.333 0.500
0.418 0.418 0.251
0.500 0.500 0.000
0.582 0.582 0.749
0.667 0.667 0.500

=====

2.
GGA-PBE Pm3Pr2Dy6, relaxed; E_tot = -49.4 eV per formula unit; volume = 34.93 A^3/atom; space-group type = C2/m; Fermi-level density of states = 1.486 states/eV/atom; ΔE to the lowest computed polymorph = 0.000 eV per atom; DFT formation energy = 0.181 eV per atom
1.0
3.093 -5.368 0.000
3.093 5.368 0.000
-2.077 0.000 11.571
Pm Pr Dy
3 2 6
Direct
0.000 0.000 0.000
0.336 0.664 0.000
0.664 0.336 0.000
0.167 0.833 0.500
0.833 0.167 0.500
0.083 0.416 0.249
0.251 0.251 0.751
0.416 0.083 0.249
0.584 0.917 0.751
0.749 0.749 0.249
0.917 0.584 0.751

=====

3.
GGA-PBE PmPr2Dy, relaxed; E_tot = -18.5 eV per formula unit; volume = 34.59 A^3/atom; space-group type = P4/mmm; Fermi-level density of states = 2.072 states/eV/atom; ΔE to the lowest computed polymorph = 0.091 eV per atom; DFT formation energy = 0.104 eV per atom
1.0
4.276 0.000 0.000
0.000 4.276 0.000
0.000 0.000 7.566
Pm Pr Dy
1 2 1
Direct
0.000 0.000 0.000
0.500 0.500 0.257
0.500 0.500 0.743
0.000 0.000 0.500

=====

4.
GGA-PBE Pm8Pr6Dy, relaxed; E_tot = -68.9 eV per formula unit; volume = 35.69 A^3/atom; space-group type = P-3; Fermi-level density of states = 1.456 states/eV/atom; ΔE to the lowest computed polymorph = 0.051 eV per atom; DFT formation energy = 0.159 eV per atom
1.0
9.594 0.000 0.000
-4.797 8.308 0.000
0.000 0.000 6.717
Pm Pr Dy
8 6 1
Direct
0.029 0.750 0.165
0.250 0.279 0.165
0.279 0.029 0.835
0.333 0.667 0.112
0.667 0.333 0.888
0.721 0.971 0.165
0.750 0.721 0.835
0.971 0.250 0.835
0.084 0.651 0.662
0.349 0.432 0.662
0.432 0.084 0.338
0.568 0.916 0.662
0.651 0.568 0.338
0.916 0.349 0.338
0.000 0.000 0.500

=====

5.
GGA-PBE Pm2Pr5Dy, relaxed; E_tot = -37.9 eV per formula unit; volume = 35.13 A^3/atom; space-group type = Pbam; Fermi-level density of states = 1.574 states/eV/atom; ΔE to the lowest computed polymorph = 0.000 eV per atom; DFT formation energy = 0.014 eV per atom
1.0
7.340 0.000 0.000
0.000 14.711 0.000
0.000 0.000 5.206
Pm Pr Dy
4 10 2
Direct
0.250 0.124 0.000
0.250 0.624 0.000
0.750 0.376 0.000
0.750 0.876 0.000
0.000 0.000 0.500
0.000 0.252 0.500
0.000 0.748 0.500
0.249 0.376 0.000
0.251 0.876 0.000
0.500 0.248 0.500
0.500 0.500 0.500
0.500 0.752 0.500
0.749 0.124 0.000
0.751 0.624 0.000
0.000 0.500 0.500
0.500 0.000 0.500

=====

6.
GGA-PBE PmPr2Dy, relaxed; E_tot = -18.8 eV per formula unit; volume = 34.60 A^3/atom; space-group type = R3m; Fermi-level density of states = 1.459 states/eV/atom; ΔE to the lowest computed polymorph = 0.006 eV per atom; DFT formation energy = 0.018 eV per atom
1.0
3.667 0.000 0.000
-1.834 3.176 0.000
0.000 0.000 35.653
Pm Pr Dy
3 6 3
Direct
0.000 0.000 0.000
0.333 0.667 0.667
0.667 0.333 0.333
0.000 0.000 0.583
0.000 0.000 0.751
0.333 0.667 0.249
0.333 0.667 0.418
0.667 0.333 0.085
0.667 0.333 0.916
0.000 0.000 0.167
0.333 0.667 0.834
0.667 0.333 0.501